Entry 1:
Entry from the Alexandria database: a relaxed TaRu5 crystal (PBEsol).

The structure in POSCAR format:
```
TaRu5
1.0
4.7322 0.0000 0.0000
-2.3661 4.0982 0.0000
0.0000 0.0000 4.3244
Ta Ru
1 5
direct
0.0000 0.0000 0.0000 Ta
0.0000 0.6525 0.5000 Ru
0.3333 0.6667 0.0000 Ru
0.3475 0.3475 0.5000 Ru
0.6525 0.0000 0.5000 Ru
0.6667 0.3333 0.0000 Ru
```

## Properties
**Energy of formation**: -87 meV per atom
**Total magnetic moment**: 0.000 μB/atom

---

Entry 2:
Entry from the Alexandria database: a relaxed TbTaRu2 crystal (PBEsol).

The structure in POSCAR format:
```
TbTaRu2
1.0
0.0000 3.2324 3.2324
3.2324 0.0000 3.2324
3.2324 3.2324 0.0000
Tb Ta Ru
1 1 2
direct
0.0000 0.0000 0.0000 Tb
0.5000 0.5000 0.5000 Ta
0.2500 0.2500 0.2500 Ru
0.7500 0.7500 0.7500 Ru
```

## Properties
**Energy of formation**: -292 meV per atom
**Total magnetic moment**: 0.000 μB/atom

---

Entry 3:
Entry from the Alexandria database: a relaxed TaTe2Ru crystal (PBEsol).

The structure in POSCAR format:
```
TaTe2Ru
1.0
1.6216 0.9362 9.1624
-1.6216 0.9362 9.1624
0.0000 -1.8724 9.1624
Ta Te Ru
1 2 1
direct
0.0000 0.0000 0.0000 Ta
0.0985 0.0985 0.0985 Te
0.9015 0.9015 0.9015 Te
0.5000 0.5000 0.5000 Ru
```

## Properties
**E_form (uncorrected)**: 2.09 eV per formula unit
**Total magnetic moment**: 0.000 μB/atom
**Polymorph energy (0 for the lowest one)**: 573 meV per atom

---

Entry 4:
Entry from the Alexandria database: a relaxed TaTe4Ru crystal (PBEsol).

The structure in POSCAR format:
```
TaTe4Ru
1.0
3.7038 0.0000 0.0000
0.0000 12.3781 0.0000
0.0000 0.0000 13.0014
Ta Te Ru
4 16 4
direct
0.0000 0.0541 0.0000 Ta
0.0000 0.2797 0.4840 Ta
0.5000 0.7203 0.9840 Ta
0.5000 0.9459 0.5000 Ta
0.0000 0.0710 0.3862 Te
0.0000 0.1915 0.8400 Te
0.0000 0.3429 0.0876 Te
0.0000 0.4219 0.6390 Te
0.0000 0.5712 0.3899 Te
0.0000 0.6708 0.8357 Te
0.0000 0.8447 0.1023 Te
0.0000 0.8958 0.6481 Te
0.5000 0.1042 0.1481 Te
0.5000 0.1553 0.6023 Te
0.5000 0.3292 0.3357 Te
0.5000 0.4288 0.8899 Te
0.5000 0.5781 0.1390 Te
0.5000 0.6571 0.5876 Te
0.5000 0.8085 0.3400 Te
0.5000 0.9290 0.8862 Te
0.0000 0.5391 0.9975 Ru
0.0000 0.7673 0.4818 Ru
0.5000 0.2327 0.9818 Ru
0.5000 0.4609 0.4975 Ru
```

## Properties
**E_form (uncorrected)**: -2.06 eV per formula unit
**Total magnetic moment**: 0.000 μB/atom

---

Entry 5:
Entry from the Alexandria database: a relaxed TaTe2Ru crystal (PBEsol).

The structure in POSCAR format:
```
TaTe2Ru
1.0
-1.8270 1.9665 6.9221
1.8270 -1.9665 6.9221
1.8270 1.9665 -6.9221
Ta Te Ru
1 2 1
direct
0.0000 0.0000 0.0000 Ta
0.3540 0.8540 0.5000 Te
0.6460 0.1460 0.5000 Te
0.5000 0.5000 0.0000 Ru
```

## Properties
**E_form (uncorrected)**: -0.21 eV per formula unit
**Total magnetic moment**: 0.000 μB/atom
**Polymorph energy (0 for the lowest one)**: 0 meV per atom

---

Entry 6:
Entry from the Alexandria database: a relaxed Ta2TeRu crystal (PBEsol).

The structure in POSCAR format:
```
Ta2TeRu
1.0
-1.6722 2.2257 4.6118
1.6722 -2.2257 4.6118
1.6722 2.2257 -4.6118
Ta Te Ru
2 1 1
direct
0.0000 0.0000 0.0000 Ta
0.7378 0.2378 0.5000 Ta
0.4752 0.4752 0.0000 Te
0.2429 0.7429 0.5000 Ru
```

## Properties
**E_form (uncorrected)**: 0.40 eV per formula unit
**Total magnetic moment**: 0.000 μB/atom

---

Entry 7:
Entry from the Alexandria database: a relaxed TaTe2Ru crystal (PBEsol).

The structure in POSCAR format:
```
TaTe2Ru
1.0
3.3397 0.0000 0.0000
0.0000 3.3397 0.0000
0.0000 0.0000 6.5832
Ta Te Ru
1 2 1
direct
0.0000 0.0000 0.0000 Ta
0.5000 0.5000 0.2509 Te
0.5000 0.5000 0.7491 Te
0.0000 0.0000 0.5000 Ru
```

## Properties
**E_form (uncorrected)**: 0.83 eV per formula unit
**Total magnetic moment**: 0.001 μB/atom
**Polymorph energy (0 for the lowest one)**: 260 meV per atom

---

Entry 8:
Entry from the Alexandria database: a relaxed TaTe2Ru crystal (PBEsol).

The structure in POSCAR format:
```
TaTe2Ru
1.0
1.6461 0.9504 9.0055
-1.6461 0.9504 9.0055
0.0000 -1.9007 9.0055
Ta Te Ru
1 2 1
direct
0.0000 0.0000 0.0000 Ta
0.4078 0.4078 0.4078 Te
0.5922 0.5922 0.5922 Te
0.5000 0.5000 0.5000 Ru
```

## Properties
**E_form (uncorrected)**: 1.79 eV per formula unit
**Total magnetic moment**: 0.000 μB/atom
**Polymorph energy (0 for the lowest one)**: 498 meV per atom